1.
# PBE KGe2Pd, relaxed
# Raw total energy: -4.128 eV per atom
# Energy relative to the elements: -0.247 eV per atom
data_KGe2Pd
_chemical_formula_sum 'K2 Ge4 Pd2'
_cell_length_a 7.449
_cell_length_b 4.168
_cell_length_c 6.737
_cell_angle_alpha 90.00
_cell_angle_beta 90.38
_cell_angle_gamma 90.00
_space_group_name_H-M_alt 'C 1 2/m 1'
_space_group_IT_number 12
loop_
_space_group_symop_operation_xyz
'x,y,z'
'-x,-y,-z'
'-x,y,-z'
'x,-y,z'
'x+1/2,y+1/2,z'
'-x+1/2,-y+1/2,-z'
'-x+1/2,y+1/2,-z'
'x+1/2,-y+1/2,z'
loop_
_atom_site_label
_atom_site_fract_x
_atom_site_fract_y
_atom_site_fract_z
K1 0.000 0.000 0.000
Ge1 0.171 0.500 0.621
Pd1 0.000 0.000 0.500

2.
# PBE PrCdRu, relaxed
# Raw total energy: -5.177 eV per atom
# Energy relative to the elements: -0.187 eV per atom
data_PrCdRu
_chemical_formula_sum 'Pr2 Cd2 Ru2'
_cell_length_a 4.202
_cell_length_b 4.156
_cell_length_c 8.803
_cell_angle_alpha 90.00
_cell_angle_beta 103.79
_cell_angle_gamma 90.00
_space_group_name_H-M_alt 'P 1 21/m 1'
_space_group_IT_number 11
loop_
_space_group_symop_operation_xyz
'x,y,z'
'-x,-y,-z'
'-x,y+1/2,-z'
'x,-y+1/2,z'
loop_
_atom_site_label
_atom_site_fract_x
_atom_site_fract_y
_atom_site_fract_z
Pr1 0.097 0.250 0.196
Cd1 0.297 0.250 0.593
Ru1 0.466 0.250 0.929

3.
# PBE ZrBeAs2, relaxed
# Raw total energy: -5.717 eV per atom
# Energy relative to the elements: -0.323 eV per atom
data_ZrBeAs2
_chemical_formula_sum 'Zr3 Be3 As6'
_cell_length_a 3.6655
_cell_length_b 3.6655
_cell_length_c 18.5722
_cell_angle_alpha 90.00
_cell_angle_beta 90.00
_cell_angle_gamma 120.00
_space_group_name_H-M_alt 'R -3 m'
_space_group_IT_number 166
_space_group_name_Hall '-R 3 2"'
loop_
_atom_site_label
_atom_site_fract_x
_atom_site_fract_y
_atom_site_fract_z
Zr1 0.0000 0.0000 0.0000
Be1 0.0000 0.0000 0.5000
As1 0.0000 0.0000 0.2384

4.
# PBE SmH6Pd4Au, relaxed
# Raw total energy: -4.318 eV per atom
data_SmH6Pd4Au
_chemical_formula_sum 'Sm1 H6 Pd4 Au1'
_cell_length_a 4.7775
_cell_length_b 4.7775
_cell_length_c 6.6905
_cell_angle_alpha 90.00
_cell_angle_beta 90.00
_cell_angle_gamma 120.00
_space_group_name_H-M_alt 'P 6/m m m'
_space_group_IT_number 191
_space_group_name_Hall '-P 6 2'
loop_
_atom_site_label
_atom_site_fract_x
_atom_site_fract_y
_atom_site_fract_z
Sm1 0.0000 0.0000 0.0000
H1 0.0000 0.5000 0.1418
Pd1 0.3333 0.6667 0.2984
Au1 0.0000 0.0000 0.5000

5.
# PBE AlCrNi, relaxed
# Raw total energy: -6.449 eV per atom
# Energy relative to the elements: -0.067 eV per atom
data_AlCrNi
_chemical_formula_sum 'Al1 Cr1 Ni1'
_cell_length_a 4.1045
_cell_length_b 4.1045
_cell_length_c 2.6127
_cell_angle_alpha 90.00
_cell_angle_beta 90.00
_cell_angle_gamma 120.00
_space_group_name_H-M_alt 'P 3 m 1'
_space_group_IT_number 156
loop_
_space_group_symop_operation_xyz
'x,y,z'
'-y,x-y,z'
'-x+y,-x,z'
'-y,-x,z'
'-x+y,y,z'
'x,x-y,z'
loop_
_atom_site_label
_atom_site_fract_x
_atom_site_fract_y
_atom_site_fract_z
Al1 0.0000 0.0000 0.0000
Cr1 0.6667 0.3333 0.4520
Ni1 0.3333 0.6667 0.8634